The following is a DFT calculation (GGA-PBE) of a relaxed structure of Li4Pb2C.

Lattice parameters (Å, degrees): 4.104 4.104 15.421 90.00 90.00 90.00
Space group I4/mmm (No. 139)
One atom of each set of equivalent atoms:
Li 0.000 0.000 0.129
Li 0.000 0.500 0.000
Pb 0.000 0.000 0.322
C 0.000 0.000 0.000

Output
- M_tot (μB per formula unit) = 0.00
- uncorrected energy (Ry per atom) = -0.238
- formation enthalpy at 0 K (eV/atom) = 0.2354

The following is a DFT calculation (GGA-PBE) of a relaxed structure of LiPbC3.

Lattice parameters (Å, degrees): 4.550 4.550 4.550 90.00 90.00 90.00
Space group Pm-3m (No. 221)
One atom of each set of equivalent atoms:
Li 0.000 0.000 0.000
Pb 0.500 0.500 0.500
C 0.000 0.500 0.500

Output
- M_tot (μB per formula unit) = 1.17
- uncorrected energy (Ry per atom) = -0.261
- formation enthalpy at 0 K (eV/atom) = 3.1045

The following is a DFT calculation (GGA-PBE) of a relaxed structure of LiPbC3.

Lattice parameters (Å, degrees): 3.965 3.965 3.965 90.00 90.00 90.00
Space group Pm-3m (No. 221)
One atom of each set of equivalent atoms:
Li 0.000 0.000 0.000
Pb 0.500 0.500 0.500
C 0.000 0.000 0.500

Output
- M_tot (μB per formula unit) = 0.00
- uncorrected energy (Ry per atom) = -0.291
- formation enthalpy at 0 K (eV/atom) = 2.7000

The following is a DFT calculation (GGA-PBE) of a relaxed structure of LiPd2PbC.

Lattice parameters (Å, degrees): 4.536 4.536 3.802 90.00 90.00 90.00
Space group P4/mmm (No. 123)
One atom of each set of equivalent atoms:
Li 0.000 0.000 0.000
Pd 0.000 0.500 0.000
Pb 0.500 0.500 0.500
C 0.000 0.000 0.500

Output
- M_tot (μB per formula unit) = 0.00
- uncorrected energy (Ry per atom) = -0.303
- formation enthalpy at 0 K (eV/atom) = 0.9263

The following is a DFT calculation (GGA-PBE) of a relaxed structure of RbLi2PbC.

Lattice parameters (Å, degrees): 4.834 4.834 5.107 90.00 90.00 90.00
Space group P4/mmm (No. 123)
One atom of each set of equivalent atoms:
Rb 0.000 0.000 0.000
Li 0.000 0.500 0.500
Pb 0.500 0.500 0.000
C 0.500 0.500 0.500

Output
- M_tot (μB per formula unit) = 0.00
- uncorrected energy (Ry per atom) = -0.212
- formation enthalpy at 0 K (eV/atom) = 0.6579

The following is a DFT calculation (GGA-PBE) of a relaxed structure of Li2RePbC.

Lattice parameters (Å, degrees): 4.286 4.286 3.998 90.00 90.00 90.00
Space group P4/mmm (No. 123)
One atom of each set of equivalent atoms:
Li 0.000 0.500 0.000
Re 0.000 0.000 0.500
Pb 0.500 0.500 0.500
C 0.000 0.000 0.000

Output
- M_tot (μB per formula unit) = 0.30
- uncorrected energy (Ry per atom) = -0.408
- formation enthalpy at 0 K (eV/atom) = 0.2857

The following is a DFT calculation (GGA-PBE) of a relaxed structure of Li2Rh4Pb2C.

Lattice parameters (Å, degrees): 5.808 5.808 8.119 90.00 90.00 90.00
Space group I4/mmm (No. 139)
One atom of each set of equivalent atoms:
Li 0.000 0.000 0.226
Rh 0.243 0.243 0.500
Pb 0.000 0.500 0.250
C 0.000 0.000 0.500

Output
- M_tot (μB per formula unit) = 0.00
- uncorrected energy (Ry per atom) = -0.419
- formation enthalpy at 0 K (eV/atom) = -0.1555

The following is a DFT calculation (GGA-PBE) of a relaxed structure of LiSiPb2C.

Lattice parameters (Å, degrees): 5.228 5.228 3.713 90.00 90.00 90.00
Space group P4/mmm (No. 123)
One atom of each set of equivalent atoms:
Li 0.000 0.000 0.000
Si 0.500 0.500 0.500
Pb 0.000 0.500 0.000
C 0.000 0.000 0.500

Output
- M_tot (μB per formula unit) = 0.00
- energy relative to the elements, uncorrected (eV per atom) = 1.197
- uncorrected energy (Ry per atom) = -0.264